The following is a DFT calculation (GGA+U) of a geometry-optimized ThTaV2O8 structure.

Cell: 6.6547 6.8076 6.6349 Å, 90.00 90.00 90.00°
Space group Cmmm (No. 65)
Asymmetric unit:
Th: 0.0000 0.0000 0.0000 [2 per cell]
Ta: 0.0000 0.0000 0.5000 [2 per cell]
V: 0.0000 0.5000 0.2590 [4 per cell]
O: 0.0000 0.3024 0.5000 [4 per cell]
O: 0.0000 0.3270 0.0000 [4 per cell]
O: 0.2051 0.0000 0.2829 [8 per cell]

Computed properties:
Its raw total energy is -8.75 eV per atom. Its volume is 300.6 Å³/cell.